8
Lattice="4.128 0.000 0.000 0.000 4.149 0.000 0.000 0.000 8.099" Properties=species:S:1:pos:R:3 comment="CuAgAs2 | Alexandria | PBE | relaxed" dft_energy_ev_per_fu=-15.39 m_tot_mub_per_cell=0.0 pbc="T T T"
Cu 0.000 0.000 0.000
Cu 2.064 2.074 0.000
Ag 0.000 0.000 4.050
Ag 2.064 2.074 4.050
As 0.000 2.074 1.799
As 0.000 2.074 6.300
As 2.064 0.000 1.799
As 2.064 0.000 6.300